[1]
# Sr2Sn3HgPd4 | Alexandria | PBE | optimized geometry
data_Sr2Sn3HgPd4
_chemical_formula_sum 'Sr2 Sn3 Hg1 Pd4'
_space_group_name_H-M_alt 'P -4 m 2'
_space_group_IT_number 115
_space_group_name_Hall 'P -4 -2'
_cell_length_a 4.782
_cell_length_b 4.782
_cell_length_c 10.466
_cell_angle_alpha 90.00
_cell_angle_beta 90.00
_cell_angle_gamma 90.00
loop_
_atom_site_label
_atom_site_type_symbol
_atom_site_fract_x
_atom_site_fract_y
_atom_site_fract_z
_atom_site_occupancy
Sr1 Sr 0.000 0.500 0.247 1
Sn1 Sn 0.000 0.500 0.882 1
Sn2 Sn 0.500 0.500 0.500 1
Hg1 Hg 0.000 0.000 0.500 1
Pd1 Pd 0.000 0.000 0.000 1
Pd2 Pd 0.000 0.500 0.632 1
Pd3 Pd 0.500 0.500 0.000 1
# Electronic total energy (eV per atom): -4.31
# ΔH_f (0 K) (meV per atom): -661

=====

[2]
# SrSn2HgPd | Alexandria | PBE | optimized geometry
data_SrSn2HgPd
_chemical_formula_sum 'Sr1 Sn2 Hg1 Pd1'
_space_group_name_H-M_alt 'P 4/m m m'
_space_group_IT_number 123
_space_group_name_Hall '-P 4 2'
_cell_length_a 5.523
_cell_length_b 5.523
_cell_length_c 5.219
_cell_angle_alpha 90.00
_cell_angle_beta 90.00
_cell_angle_gamma 90.00
loop_
_atom_site_label
_atom_site_type_symbol
_atom_site_fract_x
_atom_site_fract_y
_atom_site_fract_z
_atom_site_occupancy
Sr1 Sr 0.000 0.000 0.000 1
Sn1 Sn 0.000 0.500 0.500 1
Hg1 Hg 0.500 0.500 0.500 1
Pd1 Pd 0.500 0.500 0.000 1
# Electronic total energy (eV per atom): -2.94
# ΔH_f (0 K) (meV per atom): 95

=====

[3]
# Tl2SnHgPd | Alexandria | PBE | optimized geometry
data_Tl2SnHgPd
_chemical_formula_sum 'Tl2 Sn1 Hg1 Pd1'
_space_group_name_H-M_alt 'P 4/m m m'
_space_group_IT_number 123
_space_group_name_Hall '-P 4 2'
_cell_length_a 5.405
_cell_length_b 5.405
_cell_length_c 5.211
_cell_angle_alpha 90.00
_cell_angle_beta 90.00
_cell_angle_gamma 90.00
loop_
_atom_site_label
_atom_site_type_symbol
_atom_site_fract_x
_atom_site_fract_y
_atom_site_fract_z
_atom_site_occupancy
Tl1 Tl 0.000 0.500 0.000 1
Sn1 Sn 0.000 0.000 0.500 1
Hg1 Hg 0.500 0.500 0.500 1
Pd1 Pd 0.000 0.000 0.000 1
# Electronic total energy (eV per atom): -2.83
# ΔH_f (0 K) (meV per atom): 13

=====

[4]
# TlSnHg2Pd | Alexandria | PBE | optimized geometry
data_TlSnHg2Pd
_chemical_formula_sum 'Tl1 Sn1 Hg2 Pd1'
_space_group_name_H-M_alt 'P 4/m m m'
_space_group_IT_number 123
_space_group_name_Hall '-P 4 2'
_cell_length_a 5.323
_cell_length_b 5.323
_cell_length_c 5.118
_cell_angle_alpha 90.00
_cell_angle_beta 90.00
_cell_angle_gamma 90.00
loop_
_atom_site_label
_atom_site_type_symbol
_atom_site_fract_x
_atom_site_fract_y
_atom_site_fract_z
_atom_site_occupancy
Tl1 Tl 0.000 0.000 0.000 1
Sn1 Sn 0.500 0.500 0.000 1
Hg1 Hg 0.000 0.500 0.500 1
Pd1 Pd 0.500 0.500 0.500 1
# Electronic total energy (eV per atom): -2.44
# ΔH_f (0 K) (meV per atom): -12

=====

[5]
# SnHg2PdW | Alexandria | PBE | optimized geometry
data_SnHg2PdW
_chemical_formula_sum 'Sn1 Hg2 Pd1 W1'
_space_group_name_H-M_alt 'P 4/m m m'
_space_group_IT_number 123
_space_group_name_Hall '-P 4 2'
_cell_length_a 5.312
_cell_length_b 5.312
_cell_length_c 4.831
_cell_angle_alpha 90.00
_cell_angle_beta 90.00
_cell_angle_gamma 90.00
loop_
_atom_site_label
_atom_site_type_symbol
_atom_site_fract_x
_atom_site_fract_y
_atom_site_fract_z
_atom_site_occupancy
Sn1 Sn 0.000 0.000 0.000 1
Hg1 Hg 0.000 0.500 0.500 1
Pd1 Pd 0.500 0.500 0.000 1
W1 W 0.500 0.500 0.500 1
# Electronic total energy (eV per atom): -3.51
# ΔH_f (0 K) (meV per atom): 1040

=====

[6]
# YSnHgPd | Alexandria | PBE | optimized geometry
data_YSnHgPd
_chemical_formula_sum 'Y4 Sn4 Hg4 Pd4'
_space_group_name_H-M_alt 'F -4 3 m'
_space_group_IT_number 216
_space_group_name_Hall 'F -4 2 3'
_cell_length_a 7.065
_cell_length_b 7.065
_cell_length_c 7.065
_cell_angle_alpha 90.00
_cell_angle_beta 90.00
_cell_angle_gamma 90.00
loop_
_atom_site_label
_atom_site_type_symbol
_atom_site_fract_x
_atom_site_fract_y
_atom_site_fract_z
_atom_site_occupancy
Y1 Y 0.000 0.000 0.000 1
Sn1 Sn 0.000 0.000 0.500 1
Hg1 Hg 0.250 0.250 0.750 1
Pd1 Pd 0.250 0.250 0.250 1
# Electronic total energy (eV per atom): -4.55
# ΔH_f (0 K) (meV per atom): -560

=====

[7]
# ZnSn2HgPd | Alexandria | PBE | optimized geometry
data_ZnSn2HgPd
_chemical_formula_sum 'Zn1 Sn2 Hg1 Pd1'
_space_group_name_H-M_alt 'P 4/m m m'
_space_group_IT_number 123
_space_group_name_Hall '-P 4 2'
_cell_length_a 5.202
_cell_length_b 5.202
_cell_length_c 4.896
_cell_angle_alpha 90.00
_cell_angle_beta 90.00
_cell_angle_gamma 90.00
loop_
_atom_site_label
_atom_site_type_symbol
_atom_site_fract_x
_atom_site_fract_y
_atom_site_fract_z
_atom_site_occupancy
Zn1 Zn 0.000 0.000 0.000 1
Sn1 Sn 0.000 0.500 0.500 1
Hg1 Hg 0.500 0.500 0.000 1
Pd1 Pd 0.000 0.000 0.500 1
# Electronic total energy (eV per atom): -2.94
# ΔH_f (0 K) (meV per atom): 12

=====

[8]
# ZnSnHg2Pd | Alexandria | PBE | optimized geometry
data_ZnSnHg2Pd
_chemical_formula_sum 'Zn1 Sn1 Hg2 Pd1'
_space_group_name_H-M_alt 'P 4/m m m'
_space_group_IT_number 123
_space_group_name_Hall '-P 4 2'
_cell_length_a 5.553
_cell_length_b 5.553
_cell_length_c 5.012
_cell_angle_alpha 90.00
_cell_angle_beta 90.00
_cell_angle_gamma 90.00
loop_
_atom_site_label
_atom_site_type_symbol
_atom_site_fract_x
_atom_site_fract_y
_atom_site_fract_z
_atom_site_occupancy
Zn1 Zn 0.000 0.000 0.000 1
Sn1 Sn 0.000 0.000 0.500 1
Hg1 Hg 0.000 0.500 0.500 1
Pd1 Pd 0.500 0.500 0.000 1
# Electronic total energy (eV per atom): -1.53
# ΔH_f (0 K) (meV per atom): 680

=====

[9]
# Sr2Hg4Pd5 | Alexandria | PBE | optimized geometry
data_Sr2Hg4Pd5
_chemical_formula_sum 'Sr8 Hg16 Pd20'
_space_group_name_H-M_alt 'F m m m'
_space_group_IT_number 69
_space_group_name_Hall '-F 2 2'
_cell_length_a 5.904
_cell_length_b 9.907
_cell_length_c 17.470
_cell_angle_alpha 90.00
_cell_angle_beta 90.00
_cell_angle_gamma 90.00
loop_
_atom_site_label
_atom_site_type_symbol
_atom_site_fract_x
_atom_site_fract_y
_atom_site_fract_z
_atom_site_occupancy
Sr1 Sr 0.000 0.000 0.125 1
Hg1 Hg 0.000 0.161 0.371 1
Pd1 Pd 0.000 0.000 0.500 1
Pd2 Pd 0.250 0.250 0.000 1
Pd3 Pd 0.250 0.250 0.250 1
# Electronic total energy (eV per atom): -3.20
# ΔH_f (0 K) (meV per atom): -423

=====

[10]
# Sr3Hg3Pd | Alexandria | PBE | optimized geometry
data_Sr3Hg3Pd
_chemical_formula_sum 'Sr12 Hg12 Pd4'
_space_group_name_H-M_alt 'C 1 2/m 1'
_space_group_IT_number 12
_space_group_name_Hall '-C 2y'
_cell_length_a 11.909
_cell_length_b 4.389
_cell_length_c 17.037
_cell_angle_alpha 90.00
_cell_angle_beta 106.26
_cell_angle_gamma 90.00
loop_
_atom_site_label
_atom_site_type_symbol
_atom_site_fract_x
_atom_site_fract_y
_atom_site_fract_z
_atom_site_occupancy
Sr1 Sr 0.024 0.000 0.390 1
Sr2 Sr 0.105 0.000 0.920 1
Sr3 Sr 0.239 0.000 0.243 1
Hg1 Hg 0.019 0.500 0.236 1
Hg2 Hg 0.115 0.500 0.078 1
Hg3 Hg 0.156 0.500 0.538 1
Pd1 Pd 0.218 0.500 0.376 1
# Electronic total energy (eV per atom): -2.14
# ΔH_f (0 K) (meV per atom): -543

=====

[11]
# SrHg2Pd5 | Alexandria | PBE | optimized geometry
data_SrHg2Pd5
_chemical_formula_sum 'Sr2 Hg4 Pd10'
_space_group_name_H-M_alt 'I m m m'
_space_group_IT_number 71
_space_group_name_Hall '-I 2 2'
_cell_length_a 4.217
_cell_length_b 6.530
_cell_length_c 12.162
_cell_angle_alpha 90.00
_cell_angle_beta 90.00
_cell_angle_gamma 90.00
loop_
_atom_site_label
_atom_site_type_symbol
_atom_site_fract_x
_atom_site_fract_y
_atom_site_fract_z
_atom_site_occupancy
Sr1 Sr 0.000 0.000 0.000 1
Hg1 Hg 0.000 0.500 0.229 1
Pd1 Pd 0.000 0.208 0.387 1
Pd2 Pd 0.000 0.500 0.000 1
# Electronic total energy (eV per atom): -3.78
# ΔH_f (0 K) (meV per atom): -253

=====

[12]
# Sr3Hg2Pd2 | Alexandria | PBE | optimized geometry
data_Sr3Hg2Pd2
_chemical_formula_sum 'Sr6 Hg4 Pd4'
_space_group_name_H-M_alt 'C 1 2/m 1'
_space_group_IT_number 12
_space_group_name_Hall '-C 2y'
_cell_length_a 11.841
_cell_length_b 4.389
_cell_length_c 8.546
_cell_angle_alpha 90.00
_cell_angle_beta 110.40
_cell_angle_gamma 90.00
loop_
_atom_site_label
_atom_site_type_symbol
_atom_site_fract_x
_atom_site_fract_y
_atom_site_fract_z
_atom_site_occupancy
Sr1 Sr 0.000 0.000 0.000 1
Sr2 Sr 0.187 0.000 0.671 1
Hg1 Hg 0.035 0.500 0.336 1
Pd1 Pd 0.183 0.500 0.930 1
# Electronic total energy (eV per atom): -2.87
# ΔH_f (0 K) (meV per atom): -575